The following is a PBE calculation of Er4Cd2Ag after structural relaxation, from Alexandria via LeMat-Bulk.

Structure (extended XYZ):
```
7
Lattice="2.574 1.486 8.333 -2.574 1.486 8.333 0.000 -2.973 8.333" Properties=species:S:1:pos:R:3 pbc="T T T"
Er 0.000 0.000 3.066
Er 0.000 0.000 9.341
Er 0.000 0.000 15.660
Er 0.000 0.000 21.934
Cd 0.000 0.000 6.251
Cd 0.000 0.000 18.749
Ag 0.000 0.000 12.500
```

Uncorrected energy: -3.4027 eV/atom
Space group: R-3m, No. 166
Crystal system: trigonal
DOS at the Fermi energy: 1.06 states/eV per atom
Formation enthalpy at 0 K: -0.13 eV per atom

=====

The following is a PBE calculation of Er2Cd4Ag after structural relaxation, from Alexandria via LeMat-Bulk.

Structure (extended XYZ):
```
7
Lattice="4.202 -2.434 0.000 4.202 2.434 0.000 -2.862 0.000 8.048" Properties=species:S:1:pos:R:3 pbc="T T T"
Er -0.006 0.000 1.721
Er 5.548 0.000 6.327
Cd -0.039 0.000 4.838
Cd -0.061 0.000 7.850
Cd 5.603 0.000 0.198
Cd 5.581 0.000 3.210
Ag 2.771 0.000 4.024
```

Uncorrected energy: -2.4681 eV/atom
Space group: C2/m, No. 12
Crystal system: monoclinic
DOS at the Fermi energy: 0.55 states/eV per atom
Formation enthalpy at 0 K: -0.23 eV per atom

=====

The following is a PBE calculation of ErCdAg after structural relaxation, from Alexandria via LeMat-Bulk.

Structure (extended XYZ):
```
6
Lattice="3.708 0.000 0.000 0.000 5.056 0.000 -1.849 0.000 7.364" Properties=species:S:1:pos:R:3 pbc="T T T"
Er 0.000 1.264 1.337
Er 1.860 3.792 6.026
Cd 0.005 3.792 3.376
Cd 1.855 1.264 3.988
Ag 0.003 1.264 6.336
Ag 1.856 3.792 1.028
```

Uncorrected energy: -3.0334 eV/atom
Space group: P2_1/m, No. 11
Crystal system: monoclinic
DOS at the Fermi energy: 0.53 states/eV per atom
Formation enthalpy at 0 K: -0.26 eV per atom